(1)
LaMgAg2N after structural relaxation. Source: Alexandria, functional PBE.

Output
Formation energy from raw total energies, meV per atom: 44
Space-group type: P4/mmm, No. 123
Total magnetic moment, Bohr magnetons per cell: 0.00

Structure (POSCAR):
```
LaMgAg2N
1.0
4.7943 0.0000 0.0000
0.0000 4.7943 0.0000
0.0000 0.0000 4.7414
La Mg Ag N
1 1 2 1
direct
0.0000 0.0000 0.0000
0.5000 0.5000 0.0000
0.0000 0.5000 0.5000
0.5000 0.0000 0.5000
0.0000 0.0000 0.5000
```

(2)
La2MgAgN after structural relaxation. Source: Alexandria, functional PBE.

Output
Formation energy from raw total energies, meV per atom: -576
Space-group type: P4/mmm, No. 123
Total magnetic moment, Bohr magnetons per cell: 0.00

Structure (POSCAR):
```
La2MgAgN
1.0
5.1636 0.0000 0.0000
0.0000 5.1636 0.0000
0.0000 0.0000 4.3282
La Mg Ag N
2 1 1 1
direct
0.0000 0.5000 0.0000
0.5000 0.0000 0.0000
0.0000 0.0000 0.5000
0.5000 0.5000 0.5000
0.0000 0.0000 0.0000
```

(3)
NaLaMgAg after structural relaxation. Source: Alexandria, functional PBE.

Output
Space-group type: F-43m, No. 216
Calculated formation energy, meV/atom: -37
Total magnetic moment, Bohr magnetons per cell: 0.00

Structure (POSCAR):
```
NaLaMgAg
1.0
0.0000 3.7287 3.7287
3.7287 0.0000 3.7287
3.7287 3.7287 0.0000
Na La Mg Ag
1 1 1 1
direct
0.0000 0.0000 0.0000
0.7500 0.7500 0.7500
0.2500 0.2500 0.2500
0.5000 0.5000 0.5000
```